--- A ---
Here is a relaxed structure of Ca2W from Alexandria via LeMat-Bulk. Energies are from PBE.

Results
theoretical density: 5.10 g/cm³

Cell: 8.203 8.203 5.114 Å, 90.00 90.00 90.00°
Space group I4/mcm (No. 140)
One atom of each set of equivalent atoms:
Ca 0.163 0.337 0.000 x8
W 0.000 0.000 0.250 x4

=====

--- B ---
Here is a relaxed structure of Ca2W from Alexandria via LeMat-Bulk. Energies are from PBE.

Results
theoretical density: 5.94 g/cm³

Cell: 9.3118 9.3118 2.9500 Å, 90.00 90.00 120.00°
Space group P-62m (No. 189)
One atom of each set of equivalent atoms:
Ca 0.0000 0.3046 0.0000 x3
Ca 0.0000 0.6397 0.5000 x3
W 0.0000 0.0000 0.5000 x1
W 0.3333 0.6667 0.0000 x2

=====

Most favorable structure: A. The second most favorable one is 305 meV per atom above it.

=====

--- A ---
Here is a relaxed structure of CaW3 from Alexandria via LeMat-Bulk. Energies are from PBE.

Results
theoretical density: 13.80 g/cm³

Cell: 9.5415 9.5415 2.7093 Å, 90.00 90.00 120.00°
Space group R-3m (No. 166, hexagonal axes)
One atom of each set of equivalent atoms:
Ca 0.0000 0.0000 0.0000 x3
W 0.0000 0.5000 0.0000 x9

=====

--- B ---
Here is a relaxed structure of CaW3 from Alexandria via LeMat-Bulk. Energies are from PBE.

Results
theoretical density: 13.50 g/cm³

Cell: 3.256 4.577 9.768 Å, 90.00 90.00 90.00°
Space group Cmmm (No. 65)
One atom of each set of equivalent atoms:
Ca 0.000 0.000 0.000 x2
W 0.000 0.000 0.500 x2
W 0.000 0.500 0.277 x4

=====

Most favorable structure: B. The second most favorable one is 208 meV per atom above it.

=====

--- A ---
Here is a relaxed structure of CaW3 from Alexandria via LeMat-Bulk. Energies are from PBE.

Results
theoretical density: 13.46 g/cm³

Cell: 2.8472 2.8472 10.3968 Å, 90.00 90.00 120.00°
Space group P-6m2 (No. 187)
One atom of each set of equivalent atoms:
Ca 0.0000 0.0000 0.0000 x1
W 0.0000 0.0000 0.5000 x1
W 0.6667 0.3333 0.2677 x2

=====

--- B ---
Here is a relaxed structure of CaW3 from Alexandria via LeMat-Bulk. Energies are from PBE.

Results
theoretical density: 13.80 g/cm³

Cell: 4.818 4.818 3.067 Å, 90.00 90.00 90.00°
Space group P4/mmm (No. 123)
One atom of each set of equivalent atoms:
Ca 0.000 0.000 0.000 x1
W 0.000 0.500 0.500 x2
W 0.500 0.500 0.000 x1

=====

Most favorable structure: A. The second most favorable one is 96 meV per atom above it.

=====

--- A ---
Here is a relaxed structure of CaW3 from Alexandria via LeMat-Bulk. Energies are from PBE.

Results
theoretical density: 12.19 g/cm³

Cell: 4.079 4.079 19.385 Å, 90.00 90.00 90.00°
Space group I4/mmm (No. 139)
One atom of each set of equivalent atoms:
Ca 0.000 0.000 0.119 x4
W 0.000 0.000 0.335 x4
W 0.000 0.500 0.000 x4
W 0.000 0.500 0.250 x4

=====

--- B ---
Here is a relaxed structure of CaW3 from Alexandria via LeMat-Bulk. Energies are from PBE.

Results
theoretical density: 13.61 g/cm³

Cell: 5.635 9.542 2.685 Å, 90.00 90.00 90.00°
Space group Cmmm (No. 65)
One atom of each set of equivalent atoms:
Ca 0.000 0.000 0.000 x2
W 0.000 0.500 0.000 x2
W 0.250 0.250 0.500 x4

=====

--- C ---
Here is a relaxed structure of CaW3 from Alexandria via LeMat-Bulk. Energies are from PBE.

Results
theoretical density: 13.37 g/cm³

Cell: 2.701 2.701 10.071 Å, 90.00 90.00 90.00°
Space group P4/mmm (No. 123)
One atom of each set of equivalent atoms:
Ca 0.000 0.000 0.000 x1
W 0.000 0.000 0.500 x1
W 0.500 0.500 0.271 x2

=====

--- D ---
Here is a relaxed structure of CaW3 from Alexandria via LeMat-Bulk. Energies are from PBE.

Results
theoretical density: 12.46 g/cm³

Cell: 7.435 9.385 4.518 Å, 90.00 90.00 90.00°
Space group Cmcm (No. 63)
One atom of each set of equivalent atoms:
Ca 0.000 0.110 0.250 x4
W 0.000 0.341 0.750 x4
W 0.178 0.403 0.250 x8

=====

Most favorable structure: C. The second most favorable one is 47 meV per atom above it.

=====

--- A ---
Here is a relaxed structure of Ca5W3 from Alexandria via LeMat-Bulk. Energies are from PBE.

Results
theoretical density: 5.63 g/cm³

Cell: 5.803 9.209 9.216 Å, 84.31 71.66 71.64°
Space group P-1 (No. 2)
One atom of each set of equivalent atoms:
Ca 0.080 0.138 0.202 x2
Ca 0.218 0.703 0.361 x2
Ca 0.250 0.500 0.000 x2
Ca 0.273 0.145 0.809 x2
Ca 0.417 0.309 0.355 x2
W 0.165 0.506 0.665 x2
W 0.304 0.000 0.500 x2
W 0.330 0.835 0.006 x2

=====

--- B ---
Here is a relaxed structure of Ca5W3 from Alexandria via LeMat-Bulk. Energies are from PBE.

Results
theoretical density: 5.86 g/cm³

Cell: 8.976 10.865 4.372 Å, 90.00 90.00 90.00°
Space group Cmmm (No. 65)
One atom of each set of equivalent atoms:
Ca 0.000 0.000 0.000 x2
Ca 0.000 0.256 0.500 x4
Ca 0.250 0.250 0.000 x4
W 0.000 0.500 0.000 x2
W 0.158 0.500 0.500 x4

=====

Most favorable structure: B. The second most favorable one is 456 meV per atom above it.

=====

--- A ---
Here is a relaxed structure of Ca2Y2W from Alexandria via LeMat-Bulk. Energies are from PBE.

Results
theoretical density: 4.86 g/cm³

Cell: 4.059 4.059 18.330 Å, 90.00 90.00 90.00°
Space group I4/mmm (No. 139)
One atom of each set of equivalent atoms:
Ca 0.000 0.500 0.250 x4
Y 0.000 0.000 0.083 x4
W 0.000 0.000 0.500 x2

=====

--- B ---
Here is a relaxed structure of Ca2Y2W from Alexandria via LeMat-Bulk. Energies are from PBE.

Results
theoretical density: 4.46 g/cm³

Cell: 7.363 7.363 6.070 Å, 90.00 90.00 90.00°
Space group P4/mbm (No. 127)
One atom of each set of equivalent atoms:
Ca 0.178 0.322 0.000 x4
Y 0.170 0.670 0.500 x4
W 0.000 0.000 0.500 x2

=====

--- C ---
Here is a relaxed structure of Ca2Y2W from Alexandria via LeMat-Bulk. Energies are from PBE.

Results
theoretical density: 4.98 g/cm³

Cell: 7.556 7.556 5.158 Å, 90.00 90.00 90.00°
Space group P4/mbm (No. 127)
One atom of each set of equivalent atoms:
Ca 0.142 0.358 0.000 x4
Y 0.186 0.686 0.500 x4
W 0.000 0.000 0.000 x2

=====

--- D ---
Here is a relaxed structure of Ca2Y2W from Alexandria via LeMat-Bulk. Energies are from PBE.

Results
theoretical density: 4.43 g/cm³

Cell: 4.210 4.210 18.693 Å, 90.00 90.00 90.00°
Space group I4/mmm (No. 139)
One atom of each set of equivalent atoms:
Ca 0.000 0.000 0.087 x4
Y 0.000 0.500 0.250 x4
W 0.000 0.000 0.500 x2

=====

Most favorable structure: B. The second most favorable one is 271 meV per atom above it.

=====

--- A ---
Here is a relaxed structure of CaY3W from Alexandria via LeMat-Bulk. Energies are from PBE.

Results
theoretical density: 4.81 g/cm³

Cell: 5.533 5.533 5.533 Å, 90.00 90.00 90.00°
Space group Pm-3m (No. 221)
One atom of each set of equivalent atoms:
Ca 0.000 0.000 0.000 x1
Y 0.000 0.500 0.500 x3
W 0.500 0.500 0.500 x1

=====

--- B ---
Here is a relaxed structure of CaY3W from Alexandria via LeMat-Bulk. Energies are from PBE.

Results
theoretical density: 5.68 g/cm³

Cell: 5.234 5.234 5.234 Å, 90.00 90.00 90.00°
Space group Pm-3m (No. 221)
One atom of each set of equivalent atoms:
Ca 0.000 0.000 0.000 x1
Y 0.000 0.000 0.500 x3
W 0.500 0.500 0.500 x1

=====

Most favorable structure: A. The second most favorable one is 1492 meV per atom above it.

=====

--- A ---
Here is a relaxed structure of Ca2Y from Alexandria via LeMat-Bulk. Energies are from PBE.

Results
theoretical density: 2.46 g/cm³

Cell: 3.7440 3.7440 9.3950 Å, 90.00 90.00 120.00°
Space group P-3m1 (No. 164)
One atom of each set of equivalent atoms:
Ca 0.3333 0.6667 0.3253 x2
Y 0.0000 0.0000 0.0000 x1

=====

--- B ---
Here is a relaxed structure of Ca2Y from Alexandria via LeMat-Bulk. Energies are from PBE.

Results
theoretical density: 2.46 g/cm³

Cell: 14.020 3.741 9.059 Å, 90.00 106.27 90.00°
Space group Cm (No. 8)
One atom of each set of equivalent atoms:
Ca 0.000 0.000 0.000 x2
Ca 0.055 0.000 0.605 x2
Ca 0.224 0.500 0.937 x2
Ca 0.383 0.000 0.282 x2
Y 0.169 0.500 0.346 x2
Y 0.328 0.000 0.652 x2

=====

Most favorable structure: A. The second most favorable one is 7 meV per atom above it.

=====

--- A ---
Here is a relaxed structure of Ca2Y from Alexandria via LeMat-Bulk. Energies are from PBE.

Results
theoretical density: 2.01 g/cm³

Cell: 6.099 6.099 3.756 Å, 90.00 90.00 90.00°
Space group P4/mmm (No. 123)
One atom of each set of equivalent atoms:
Ca 0.000 0.500 0.000 x2
Y 0.000 0.000 0.500 x1

=====

--- B ---
Here is a relaxed structure of Ca2Y from Alexandria via LeMat-Bulk. Energies are from PBE.

Results
theoretical density: 2.19 g/cm³

Cell: 8.003 8.003 8.003 Å, 90.00 90.00 90.00°
Space group Pa-3 (No. 205)
One atom of each set of equivalent atoms:
Ca 0.138 0.138 0.138 x8
Y 0.000 0.000 0.500 x4

=====

Most favorable structure: A. The second most favorable one is 374 meV per atom above it.

=====

--- A ---
Here is a relaxed structure of Ca2Y from Alexandria via LeMat-Bulk. Energies are from PBE.

Results
theoretical density: 2.39 g/cm³

Cell: 3.680 3.680 34.759 Å, 90.00 90.00 90.00°
Space group I4_1/amd (No. 141, origin choice 2)
One atom of each set of equivalent atoms:
Ca 0.000 0.250 0.298 x8
Y 0.000 0.250 0.875 x4

=====

--- B ---
Here is a relaxed structure of Ca2Y from Alexandria via LeMat-Bulk. Energies are from PBE.

Results
theoretical density: 2.44 g/cm³

Cell: 3.765 3.765 16.205 Å, 90.00 90.00 90.00°
Space group I4/mmm (No. 139)
One atom of each set of equivalent atoms:
Ca 0.000 0.000 0.160 x4
Y 0.000 0.000 0.500 x2

=====

--- C ---
Here is a relaxed structure of Ca2Y from Alexandria via LeMat-Bulk. Energies are from PBE.

Results
theoretical density: 2.39 g/cm³

Cell: 9.791 9.791 9.791 Å, 90.00 90.00 90.00°
Space group Fd-3m (No. 227, origin choice 2)
One atom of each set of equivalent atoms:
Ca 0.000 0.000 0.000 x16
Y 0.125 0.125 0.625 x8

=====

--- D ---
Here is a relaxed structure of Ca2Y from Alexandria via LeMat-Bulk. Energies are from PBE.

Results
theoretical density: 2.47 g/cm³

Cell: 3.766 19.980 6.041 Å, 90.00 90.00 90.00°
Space group Cmcm (No. 63)
One atom of each set of equivalent atoms:
Ca 0.000 0.060 0.250 x4
Ca 0.000 0.382 0.250 x4
Y 0.000 0.275 0.750 x4

=====

Most favorable structure: D. The second most favorable one is 23 meV per atom above it.